Material: NiBiS2N
Method: DFT, PBE-GGA
State: relaxed

The structure belongs to space group P4/mmm (No. 123); the cell edges are 5.2269, 5.2269 and 4.1679 Å and the angles 90.00°, 90.00° and 90.00°. The inequivalent atoms are Ni at (0.0000, 0.0000, 0.0000), Bi at (0.5000, 0.5000, 0.5000), S at (0.0000, 0.5000, 0.5000) and N at (0.5000, 0.5000, 0.0000).

For the distance to the lowest polymorph of the same formula, the calculation gives 5.88 eV per formula unit. The crystal system is tetragonal. Its energy relative to the elements, uncorrected is 743.5 kJ/mol of formula units. As for the volume: 113.9 Å³/cell.

***

Material: K2RbHgPb
Method: DFT, PBE-GGA
State: relaxed

The structure belongs to space group P4/mmm (No. 123); the cell edges are 6.8874, 6.8874 and 6.0211 Å and the angles 90.00°, 90.00° and 90.00°. The inequivalent atoms are K at (0.0000, 0.5000, 0.0000), Rb at (0.0000, 0.0000, 0.5000), Hg at (0.5000, 0.5000, 0.5000) and Pb at (0.5000, 0.5000, 0.0000).

For the distance to the lowest polymorph of the same formula, the calculation gives 0.12 eV per formula unit. The crystal system is tetragonal. As for the volume: 285.6 Å³/cell. Its formation energy is -0.36 kcal/mol of atoms.

***

Material: LiZn2O2
Method: DFT, PBE-GGA
State: relaxed

The structure belongs to space group P4/mbm (No. 127); the cell edges are 6.2317, 6.2317 and 3.2512 Å and the angles 90.00°, 90.00° and 90.00°. The inequivalent atoms are Li at (0.0000, 0.0000, 0.0000), Zn at (0.1373, 0.3627, 0.5000) and O at (0.2417, 0.7417, 0.0000).

For the distance to the lowest polymorph of the same formula, the calculation gives 1.48 eV per formula unit. The crystal system is tetragonal. Its energy relative to the elements, uncorrected is -439.1 kJ/mol of formula units. As for the volume: 126.3 Å³/cell.

***

Material: DyFeCo
Method: DFT, PBE-GGA
State: relaxed

The structure belongs to space group Imma (No. 74); the cell edges are 5.0884, 5.2508 and 7.0858 Å and the angles 90.00°, 90.00° and 90.00°. The inequivalent atoms are Dy at (0.0000, 0.2500, 0.1257), Fe at (0.2500, 0.2500, 0.7500) and Co at (0.0000, 0.0000, 0.5000).

The crystal system is orthorhombic. As for the volume: 189.3 Å³/cell. Its formation energy is -3.83 kcal/mol of atoms.

***

Material: Ti4Pd3Rh
Method: DFT, PBE-GGA
State: relaxed

The structure belongs to space group P4/mmm (No. 123); the cell edges are 2.8710, 2.8710 and 15.0436 Å and the angles 90.00°, 90.00° and 90.00°. The inequivalent atoms are Ti at (0.0000, 0.0000, 0.1172), Ti at (0.0000, 0.0000, 0.3732), Pd at (0.5000, 0.5000, 0.2456), Pd at (0.5000, 0.5000, 0.5000) and Rh at (0.5000, 0.5000, 0.0000).

The crystal system is tetragonal. As for the volume: 124.0 Å³/cell. Its formation energy is -13.29 kcal/mol of atoms.

***

Material: Ba2Sb4Pt3Rh
Method: DFT, PBE-GGA
State: relaxed

The structure belongs to space group P-4m2 (No. 115); the cell edges are 4.8201, 4.8201 and 10.5916 Å and the angles 90.00°, 90.00° and 90.00°. The inequivalent atoms are Ba at (0.0000, 0.5000, 0.2471), Sb at (0.0000, 0.0000, 0.5000), Sb at (0.0000, 0.5000, 0.8809), Sb at (0.5000, 0.5000, 0.5000), Pt at (0.0000, 0.0000, 0.0000), Pt at (0.0000, 0.5000, 0.6217) and Rh at (0.5000, 0.5000, 0.0000).

The crystal system is tetragonal. Its energy relative to the elements, uncorrected is -752.5 kJ/mol of formula units. As for the volume: 246.1 Å³/cell.

***

Values of DOS(E_F), in order: 10.362 4.353 4.627 9.385 10.477 7.064, all in states/eV/cell.